# 1
Entry from Alexandria: a relaxed structure of PPb2O (PBE).

Calculated values
The excess energy over the best structure of this formula in the dataset is 0.0000 eV per atom. As for the uncorrected formation energy: -0.230 eV per atom. The calculated volume comes out at 434.36 Å³ per cell. The space group is No. 122. Its crystal system is tetragonal. The calculation puts the total magnetic moment at 0.000 μB/atom.

Cell and atoms, written as POSCAR:
```
PPb2O
1.0
5.911 0.000 0.000
0.000 5.911 0.000
0.000 0.000 12.430
P Pb O
4 8 4
direct
0.000 0.000 0.000
0.000 0.500 0.250
0.500 0.000 0.750
0.500 0.500 0.500
0.196 0.250 0.625
0.250 0.696 0.875
0.250 0.804 0.375
0.304 0.250 0.125
0.696 0.750 0.125
0.750 0.196 0.375
0.750 0.304 0.875
0.804 0.750 0.625
0.000 0.000 0.500
0.000 0.500 0.750
0.500 0.000 0.250
0.500 0.500 0.000
```



# 2
Entry from Alexandria: a relaxed structure of Cr2SiP (PBE).

Calculated values
The excess energy over the best structure of this formula in the dataset is 0.5132 eV per atom. As for the uncorrected formation energy: 0.183 eV per atom. The calculated volume comes out at 99.83 Å³ per cell. The space group is No. 35. Its crystal system is orthorhombic. The calculation puts the total magnetic moment at 0.000 μB/atom.

Cell and atoms, written as POSCAR:
```
Cr2SiP
1.0
3.042 0.000 0.000
0.000 4.159 0.000
0.000 0.000 7.890
Cr Si P
4 2 2
direct
0.000 0.000 0.000
0.000 0.500 0.246
0.500 0.000 0.246
0.500 0.500 0.000
0.000 0.500 0.763
0.500 0.000 0.763
0.000 0.000 0.473
0.500 0.500 0.473
```



# 3
Entry from Alexandria: a relaxed structure of BaGa11Ag (PBE).

Calculated values
The energy of formation from the pure elements comes out at -0.12 eV per atom. The calculated volume comes out at 267.72 Å³ per cell. The space group is No. 12. Its crystal system is monoclinic. The calculation puts the total magnetic moment at 0.000 μB/atom.

Cell and atoms, written as POSCAR:
```
BaGa11Ag
1.0
2.891 -6.738 0.000
2.891 6.738 0.000
-2.781 0.000 6.873
Ba Ga Ag
1 11 1
direct
0.000 0.000 0.000
0.000 0.000 0.500
0.000 0.500 0.000
0.004 0.365 0.360
0.278 0.499 0.780
0.365 0.004 0.360
0.499 0.278 0.780
0.500 0.000 0.000
0.501 0.722 0.220
0.635 0.996 0.640
0.722 0.501 0.220
0.996 0.635 0.640
0.500 0.500 0.500
```



# 4
Entry from Alexandria: a relaxed structure of TaMo6W3 (PBE).

Calculated values
The excess energy over the best structure of this formula in the dataset is 0.4805 eV per atom. The energy of formation from the pure elements comes out at 0.40 eV per atom. The calculated volume comes out at 337.29 Å³ per cell. The space group is No. 11. Its crystal system is monoclinic. The calculation puts the total magnetic moment at 0.000 μB/atom.

Cell and atoms, written as POSCAR:
```
TaMo6W3
1.0
10.388 0.000 0.000
0.000 3.080 0.000
-2.541 0.000 10.542
Ta Mo W
2 12 6
direct
0.047 0.250 0.257
0.953 0.750 0.743
0.103 0.250 0.946
0.210 0.750 0.452
0.216 0.750 0.148
0.244 0.750 0.756
0.413 0.250 0.598
0.483 0.250 0.176
0.517 0.750 0.824
0.587 0.750 0.402
0.756 0.250 0.244
0.784 0.250 0.852
0.790 0.250 0.548
0.897 0.750 0.054
0.087 0.250 0.587
0.359 0.250 0.348
0.368 0.750 0.985
0.632 0.250 0.015
0.641 0.750 0.652
0.913 0.750 0.413
```



# 5
Entry from Alexandria: a relaxed structure of RbCu4 (PBE).

Calculated values
The energy of formation from the pure elements comes out at 2.03 eV per atom. The calculated volume comes out at 145.06 Å³ per cell. The space group is No. 221. Its crystal system is cubic. The calculation puts the total magnetic moment at 0.000 μB/atom.

Cell and atoms, written as POSCAR:
```
RbCu4
1.0
5.254 0.000 0.000
0.000 5.254 0.000
0.000 0.000 5.254
Rb Cu
1 4
direct
0.000 0.000 0.000
0.000 0.000 0.500
0.000 0.500 0.000
0.500 0.000 0.000
0.500 0.500 0.500
```



# 6
Entry from Alexandria: a relaxed structure of AcPmTh2S4 (PBE).

Calculated values
As for the uncorrected formation energy: -1.897 eV per atom. The calculated volume comes out at 195.68 Å³ per cell. The space group is No. 10. Its crystal system is monoclinic. The calculation puts the total magnetic moment at 0.000 μB/atom.

Cell and atoms, written as POSCAR:
```
AcPmTh2S4
1.0
7.078 0.000 0.000
0.000 4.107 0.000
-2.360 0.000 6.732
Ac Pm Th S
1 1 2 4
direct
0.000 0.000 0.000
0.500 0.500 0.000
0.000 0.500 0.500
0.500 0.000 0.500
0.257 0.000 0.746
0.261 0.500 0.259
0.739 0.500 0.741
0.743 0.000 0.254
```



# 7
Entry from Alexandria: a relaxed structure of In2SbSe (PBE).

Calculated values
The excess energy over the best structure of this formula in the dataset is 0.0000 eV per atom. As for the uncorrected formation energy: -0.245 eV per atom. The calculated volume comes out at 109.04 Å³ per cell. The space group is No. 123. Its crystal system is tetragonal. The calculation puts the total magnetic moment at 0.000 μB/atom.

Cell and atoms, written as POSCAR:
```
In2SbSe
1.0
4.245 0.000 0.000
0.000 4.245 0.000
0.000 0.000 6.051
In Sb Se
2 1 1
direct
0.000 0.000 0.000
0.500 0.500 0.500
0.000 0.000 0.500
0.500 0.500 0.000
```



# 8
Entry from Alexandria: a relaxed structure of IrCNO2 (PBE).

Calculated values
As for the uncorrected formation energy: 1.241 eV per atom. The calculated volume comes out at 64.22 Å³ per cell. The space group is No. 123. Its crystal system is tetragonal. The calculation puts the total magnetic moment at 0.014 μB/atom.

Cell and atoms, written as POSCAR:
```
IrCNO2
1.0
2.912 0.000 0.000
0.000 2.912 0.000
0.000 0.000 7.573
Ir C N O
1 1 1 2
direct
0.000 0.000 0.000
0.000 0.000 0.500
0.500 0.500 0.000
0.000 0.500 0.500
0.500 0.000 0.500
```



# 9
Entry from Alexandria: a relaxed structure of BaLa2FeGe (PBE).

Calculated values
The energy of formation from the pure elements comes out at 0.26 eV per atom. The calculated volume comes out at 169.35 Å³ per cell. The space group is No. 123. Its crystal system is tetragonal. The calculation puts the total magnetic moment at 0.000 μB/atom.

Cell and atoms, written as POSCAR:
```
BaLa2FeGe
1.0
6.071 0.000 0.000
0.000 6.071 0.000
0.000 0.000 4.595
Ba La Fe Ge
1 2 1 1
direct
0.000 0.000 0.000
0.000 0.500 0.500
0.500 0.000 0.500
0.500 0.500 0.000
0.500 0.500 0.500
```



# 10
Entry from Alexandria: a relaxed structure of Tb2GdAl (PBE).

Calculated values
The excess energy over the best structure of this formula in the dataset is 0.0000 eV per atom. The energy of formation from the pure elements comes out at -0.19 eV per atom. The calculated volume comes out at 109.21 Å³ per cell. The space group is No. 123. Its crystal system is tetragonal. The calculation puts the total magnetic moment at 1.931 μB/atom.

Cell and atoms, written as POSCAR:
```
Tb2GdAl
1.0
4.791 0.000 0.000
0.000 4.791 0.000
0.000 0.000 4.759
Tb Gd Al
2 1 1
direct
0.000 0.500 0.000
0.500 0.000 0.000
0.000 0.000 0.500
0.500 0.500 0.500
```



# 11
Entry from Alexandria: a relaxed structure of LaUFe2P2 (PBE).

Calculated values
The energy of formation from the pure elements comes out at -0.83 eV per atom. The calculated volume comes out at 105.40 Å³ per cell. The space group is No. 164. Its crystal system is trigonal. The calculation puts the total magnetic moment at 0.124 μB/atom.

Cell and atoms, written as POSCAR:
```
LaUFe2P2
1.0
3.921 0.000 0.000
-1.961 3.396 0.000
0.000 0.000 7.915
La U Fe P
1 1 2 2
direct
0.000 0.000 0.000
0.000 0.000 0.500
0.333 0.667 0.704
0.667 0.333 0.296
0.333 0.667 0.259
0.667 0.333 0.741
```



# 12
Entry from Alexandria: a relaxed structure of Dy5Ho2TmTh (PBE).

Calculated values
The energy of formation from the pure elements comes out at 0.16 eV per atom. The calculated volume comes out at 587.16 Å³ per cell. The space group is No. 36. Its crystal system is orthorhombic. The calculation puts the total magnetic moment at 0.000 μB/atom.

Cell and atoms, written as POSCAR:
```
Dy5Ho2TmTh
1.0
2.836 -10.741 0.000
2.836 10.741 0.000
0.000 0.000 9.638
Dy Ho Tm Th
10 4 2 2
direct
0.014 0.986 0.500
0.271 0.729 0.807
0.304 0.696 0.201
0.398 0.602 0.525
0.469 0.531 0.227
0.531 0.469 0.727
0.602 0.398 0.025
0.696 0.304 0.701
0.729 0.271 0.307
0.986 0.014 0.000
0.116 0.884 0.811
0.129 0.871 0.194
0.871 0.129 0.694
0.884 0.116 0.311
0.189 0.811 0.500
0.811 0.189 0.000
0.404 0.596 0.906
0.596 0.404 0.406
```



Q: What is the calculated volume in the third record?
A: 267.72 Å³ per cell



Q: Which value of calculated volume does entry 5 give?
A: 145.06 Å³ per cell



Q: Number 3 is which compound?
A: BaGa11Ag



Q: What is the total magnetic moment in the second record?
A: 0.000 μB/atom